1.
DFT (GGA-PBE) results for a relaxed structure of LiCeErCr.

Geometry as CIF:
```
data_LiCeErCr
_chemical_formula_sum 'Li4 Ce4 Er4 Cr4'
_cell_length_a 7.130
_cell_length_b 7.130
_cell_length_c 7.130
_cell_angle_alpha 90.00
_cell_angle_beta 90.00
_cell_angle_gamma 90.00
_space_group_name_H-M_alt 'F -4 3 m'
_space_group_IT_number 216
_space_group_name_Hall 'F -4 2 3'
loop_
_atom_site_label
_atom_site_fract_x
_atom_site_fract_y
_atom_site_fract_z
_atom_site_occupancy
Li1 0.000 0.000 0.000 1
Ce1 0.250 0.250 0.750 1
Er1 0.250 0.250 0.250 1
Cr1 0.000 0.000 0.500 1
```

Spin magnetization, μB/f.u.: 2.136
DFT formation energy, meV/atom: 241.4
Density, g cm⁻³: 6.71


2.
DFT (GGA-PBE) results for a relaxed structure of Ce2ErCrN5.

Geometry as CIF:
```
data_Ce2ErCrN5
_chemical_formula_sum 'Ce8 Er4 Cr4 N20'
_cell_length_a 3.390
_cell_length_b 13.771
_cell_length_c 10.400
_cell_angle_alpha 90.00
_cell_angle_beta 90.00
_cell_angle_gamma 90.00
_space_group_name_H-M_alt 'C m c 21'
_space_group_IT_number 36
_space_group_name_Hall 'C 2c -2'
loop_
_atom_site_label
_atom_site_fract_x
_atom_site_fract_y
_atom_site_fract_z
_atom_site_occupancy
Ce1 0.000 0.120 0.000 1
Ce2 0.000 0.144 0.596 1
Er1 0.000 0.204 0.304 1
Cr1 0.000 0.499 0.769 1
N1 0.000 0.034 0.333 1
N2 0.000 0.287 0.963 1
N3 0.000 0.309 0.652 1
N4 0.000 0.371 0.311 1
N5 0.000 0.488 0.098 1
```

Spin magnetization, μB/f.u.: 1.999
ΔE_f (raw), eV/f.u.: -10.6
Density, g cm⁻³: 7.79


3.
DFT (GGA-PBE) results for a relaxed structure of Ce2ErCr2N6.

Geometry as CIF:
```
data_Ce2ErCr2N6
_chemical_formula_sum 'Ce6 Er3 Cr6 N18'
_cell_length_a 5.5092
_cell_length_b 5.5092
_cell_length_c 17.9448
_cell_angle_alpha 90.00
_cell_angle_beta 90.00
_cell_angle_gamma 120.00
_space_group_name_H-M_alt 'R -3 m'
_space_group_IT_number 166
_space_group_name_Hall '-R 3 2"'
loop_
_atom_site_label
_atom_site_fract_x
_atom_site_fract_y
_atom_site_fract_z
_atom_site_occupancy
Ce1 0.0000 0.0000 0.2063 1
Er1 0.0000 0.0000 0.0000 1
Cr1 0.0000 0.0000 0.4002 1
N1 0.0035 0.5017 0.7642 1
```

Spin magnetization, μB/f.u.: 1.335
ΔE_f (raw), eV/f.u.: -9.6
Density, g cm⁻³: 6.71